TaReRhAu2 after structural relaxation. Source: Alexandria via LeMat-Bulk, functional PBE.

Summary:
Its calculated total energy is -30.19 eV for the cell shown. The value obtained for the formation energy from the elements is 1.6041 eV per atom. Its density is 12335 kg/m³.

Structure (CIF):
```
data_TaReRhAu2
_chemical_formula_sum 'Ta1 Re1 Rh1 Au2'
_symmetry_space_group_name_H-M 'P 4/m m m'
_symmetry_Int_Tables_number 123
_symmetry_space_group_name_Hall '-P 4 2'
_cell_length_a 4.9711
_cell_length_b 4.9711
_cell_length_c 4.7069
_cell_angle_alpha 90.00
_cell_angle_beta 90.00
_cell_angle_gamma 90.00
loop_
_atom_site_label
_atom_site_type_symbol
_atom_site_fract_x
_atom_site_fract_y
_atom_site_fract_z
_atom_site_occupancy
Ta1 Ta 0.0000 0.0000 0.0000 1
Re1 Re 0.0000 0.0000 0.5000 1
Rh1 Rh 0.5000 0.5000 0.0000 1
Au1 Au 0.0000 0.5000 0.5000 1
```


PmSm3Tm2Se6 after structural relaxation. Source: Alexandria via LeMat-Bulk, functional PBE.

Summary:
Its calculated total energy is -140.05 eV for the cell shown. Its density is 7847 kg/m³. The calculation puts the energy relative to the elements, uncorrected at -1772 meV per atom.

Structure (CIF):
```
data_PmSm3Tm2Se6
_chemical_formula_sum 'Pm2 Sm6 Tm4 Se12'
_symmetry_space_group_name_H-M 'C 1 2/m 1'
_symmetry_Int_Tables_number 12
_cell_length_a 7.1061
_cell_length_b 12.3658
_cell_length_c 7.1835
_cell_angle_alpha 90.00
_cell_angle_beta 109.30
_cell_angle_gamma 90.00
loop_
_symmetry_equiv_pos_as_xyz
'x,y,z'
'-x,-y,-z'
'-x,y,-z'
'x,-y,z'
'x+1/2,y+1/2,z'
'-x+1/2,-y+1/2,-z'
'-x+1/2,y+1/2,-z'
'x+1/2,-y+1/2,z'
loop_
_atom_site_label
_atom_site_type_symbol
_atom_site_fract_x
_atom_site_fract_y
_atom_site_fract_z
_atom_site_occupancy
Pm1 Pm 0.0000 0.0000 0.0000 1
Sm1 Sm 0.0000 0.1587 0.5000 1
Sm2 Sm 0.0000 0.5000 0.5000 1
Tm1 Tm 0.0000 0.3343 0.0000 1
Se1 Se 0.2343 0.5000 0.2365 1
Se2 Se 0.2470 0.3273 0.7573 1
```